# 1
Computed, not measured: LuMgGaAg after structural relaxation at the PBE-GGA level of DFT.

a b c (Å): 4.8469 4.8469 4.8469
angles (deg): 60.00 60.00 60.00
Sites, in units of the cell vectors:
Lu  0.0000  0.0000  0.0000
Mg  0.5000  0.5000  0.5000
Ga  0.2500  0.2500  0.2500
Ag  0.7500  0.7500  0.7500

Results
total DFT energy (no corrections) = -3.377 eV per atom



# 2
Computed, not measured: LuMgGaAg after structural relaxation at the PBE-GGA level of DFT.

a b c (Å): 4.8355 4.8355 4.8355
angles (deg): 60.00 60.00 60.00
Sites, in units of the cell vectors:
Lu  0.0000  0.0000  0.0000
Mg  0.2500  0.2500  0.2500
Ga  0.5000  0.5000  0.5000
Ag  0.7500  0.7500  0.7500

Results
total DFT energy (no corrections) = -3.149 eV per atom



# 3
Computed, not measured: LuGaNiAg after structural relaxation at the PBE-GGA level of DFT.

a b c (Å): 4.6164 4.6164 4.6164
angles (deg): 60.00 60.00 60.00
Sites, in units of the cell vectors:
Lu  0.0000  0.0000  0.0000
Ga  0.2500  0.2500  0.2500
Ni  0.5000  0.5000  0.5000
Ag  0.7500  0.7500  0.7500

Results
total DFT energy (no corrections) = -4.224 eV per atom



# 4
Computed, not measured: LuGaAgPd after structural relaxation at the PBE-GGA level of DFT.

a b c (Å): 4.6942 4.6942 4.6942
angles (deg): 60.00 60.00 60.00
Sites, in units of the cell vectors:
Lu  0.0000  0.0000  0.0000
Ga  0.7500  0.7500  0.7500
Ag  0.2500  0.2500  0.2500
Pd  0.5000  0.5000  0.5000

Results
total DFT energy (no corrections) = -4.372 eV per atom



| no. | V (A^3/atom) |
| --- | --- |
| 1 | 20.13 |
| 2 | 19.99 |
| 3 | 17.39 |
| 4 | 18.29 |